# 1
A plane-wave DFT calculation with PBE-GGA was carried out for an optimized crystal structure of AcHoCdCu.

Computed properties:
Magnetization = 0.00 μB/cell
Electronic total energy = -14.261 eV/cell
E_form = -0.141 eV/atom
SG = No. 216

Structure (POSCAR):
```
AcHoCdCu
1.0
-5.164 -0.318 1.425
-2.455 -4.770 0.146
-1.354 -2.178 4.714
Ho Ac Cu Cd
1 1 1 1
direct
0.500 0.500 0.500
0.000 0.000 0.000
0.250 0.250 0.250
0.750 0.750 0.750
```

***

# 2
A plane-wave DFT calculation with PBE-GGA was carried out for an optimized crystal structure of SrMg16Al12.

Computed properties:
Magnetization = 0.00 μB/cell
Electronic total energy = -73.421 eV/cell
Distance to the lowest polymorph of the same formula = 0 meV/atom
E_form = -0.045 eV/atom
SG = No. 217

Structure (POSCAR):
```
SrMg16Al12
1.0
-7.431 -4.504 -3.009
5.638 1.677 -7.068
4.370 -5.130 6.256
Mg Al Sr
16 12 1
direct
0.000 0.398 0.681
0.000 0.681 0.398
0.602 0.284 0.602
0.000 0.000 0.636
0.681 0.398 0.000
0.319 0.716 0.319
0.636 0.000 0.000
0.000 0.636 0.000
0.398 0.681 0.000
0.364 0.364 0.364
0.284 0.602 0.602
0.398 0.000 0.681
0.681 0.000 0.398
0.602 0.602 0.284
0.319 0.319 0.716
0.716 0.319 0.319
0.373 0.000 0.188
0.373 0.188 0.000
0.812 0.185 0.812
0.627 0.815 0.627
0.188 0.000 0.373
0.188 0.373 0.000
0.000 0.188 0.373
0.815 0.627 0.627
0.812 0.812 0.185
0.627 0.627 0.815
0.185 0.812 0.812
0.000 0.373 0.188
0.000 0.000 0.000
```

***

# 3
A plane-wave DFT calculation with PBE-GGA was carried out for an optimized crystal structure of RbSrZnI5.

Computed properties:
Magnetization = 0.00 μB/cell
E_form (uncorrected) = -1.221 eV per atom
Electronic total energy = -42.891 eV/cell
SG = No. 15

Structure (POSCAR):
```
RbSrZnI5
1.0
8.750 0.143 -0.111
-2.417 8.411 -0.111
-2.770 -3.741 10.649
I Rb Sr Zn
10 2 2 2
direct
0.337 0.910 0.635
0.910 0.337 0.135
0.254 0.397 0.565
0.603 0.746 0.935
0.904 0.096 0.750
0.090 0.663 0.865
0.663 0.090 0.365
0.746 0.603 0.435
0.397 0.254 0.065
0.096 0.904 0.250
0.355 0.645 0.250
0.645 0.355 0.750
0.000 0.000 0.000
0.000 0.000 0.500
0.684 0.316 0.250
0.316 0.684 0.750
```